Below is crystalline CrHgPb2 at its relaxed geometry, with properties calculated at the GGA-PBE level.

The calculation puts the total energy at -3.945 eV/atom. For the formation enthalpy at 0 K, the calculation gives 390 meV/atom.

The structure belongs to space group I-4m2 (No. 119); the cell edges are 4.603, 4.603 and 9.615 Å and the angles 90.00°, 90.00° and 90.00°. The distinct sites, in fractional coordinates, are Cr at (0.000, 0.000, 0.000), Hg at (0.000, 0.500, 0.750), Pb at (0.000, 0.000, 0.500) and Pb at (0.000, 0.500, 0.250).

=====

Below is crystalline CrHgPb4 at its relaxed geometry, with properties calculated at the GGA-PBE level.

The calculation puts the total energy at -3.631 eV/atom. For the formation enthalpy at 0 K, the calculation gives 495 meV/atom.

The structure belongs to space group F-43m (No. 216); the cell edges are 9.082, 9.082 and 9.082 Å and the angles 90.00°, 90.00° and 90.00°. The distinct sites, in fractional coordinates, are Cr at (0.000, 0.000, 0.000), Hg at (0.250, 0.250, 0.750) and Pb at (0.125, 0.125, 0.375).

=====

Below is crystalline Cr4HgPb at its relaxed geometry, with properties calculated at the GGA-PBE level.

The calculation puts the total energy at -6.377 eV/atom. For the formation enthalpy at 0 K, the calculation gives 707 meV/atom.

The structure belongs to space group F-43m (No. 216); the cell edges are 7.165, 7.165 and 7.165 Å and the angles 90.00°, 90.00° and 90.00°. The distinct sites, in fractional coordinates, are Cr at (0.120, 0.120, 0.120), Hg at (0.250, 0.250, 0.750) and Pb at (0.000, 0.000, 0.500).